Entry from Alexandria: an optimized crystal structure of Ac2AsIr (GGA-PBE). Values from VASP.

Computed properties:
- DOS(E_F): 0.992 states/eV/atom
- VASP energy: -5.423 eV/atom
- Spin magnetization: 0.31 μB/f.u.
- Energy of formation: 0.01 eV/atom
- E above lowest polymorph: 0.757 eV per atom

Geometry as Quantum ESPRESSO input:
```
&SYSTEM
  ibrav = 0, nat = 4, ntyp = 3
/
ATOMIC_SPECIES
Ac 227.00 Ac.upf
As 74.92 As.upf
Ir 192.22 Ir.upf
ATOMIC_POSITIONS angstrom
Ac 6.718 3.879 2.674
Ac 2.239 1.293 6.312
As 4.479 2.586 4.493
Ir 0.000 0.000 0.000
CELL_PARAMETERS angstrom
4.479 0.000 0.000
2.239 3.879 0.000
2.239 1.293 8.986
```